#a
! ZnB2S2 (PBE, relaxed); values from VASP
&SYSTEM
  ibrav = 0, nat = 10, ntyp = 3
/
ATOMIC_SPECIES
Zn 65.41 Zn.upf
B 10.81 B.upf
S 32.06 S.upf
ATOMIC_POSITIONS crystal
Zn 0.0000 0.0000 0.0000
Zn 0.5000 0.5000 0.0000
B 0.0668 0.4332 0.0000
B 0.4332 0.9332 0.0000
B 0.5668 0.0668 0.0000
B 0.9332 0.5668 0.0000
S 0.1523 0.3477 0.5000
S 0.3477 0.8477 0.5000
S 0.6523 0.1523 0.5000
S 0.8477 0.6523 0.5000
CELL_PARAMETERS angstrom
8.7952 0.0000 0.0000
0.0000 8.7952 0.0000
0.0000 0.0000 2.9374
! Space-group type: P4/mbm
! Density: 2209 kg/m³
! DOS at the Fermi energy: 0.02 states/eV/f.u.

#b
! ZnB2S2 (PBE, relaxed); values from VASP
&SYSTEM
  ibrav = 0, nat = 10, ntyp = 3
/
ATOMIC_SPECIES
Zn 65.41 Zn.upf
B 10.81 B.upf
S 32.06 S.upf
ATOMIC_POSITIONS crystal
Zn 0.0000 0.0000 0.0000
Zn 0.5000 0.5000 0.5000
B 0.0000 0.0000 0.3663
B 0.0000 0.0000 0.6337
B 0.5000 0.5000 0.1337
B 0.5000 0.5000 0.8663
S 0.0000 0.5000 0.2500
S 0.0000 0.5000 0.7500
S 0.5000 0.0000 0.2500
S 0.5000 0.0000 0.7500
CELL_PARAMETERS angstrom
4.2305 0.0000 0.0000
0.0000 4.2305 0.0000
0.0000 0.0000 6.6074
! Space-group type: I4/mmm
! Density: 4245 kg/m³
! DOS at the Fermi energy: 1.24 states/eV/f.u.

Stability summary: most stable #a, least stable #b.

#a
! Zn3BS (PBE, relaxed); values from VASP
&SYSTEM
  ibrav = 0, nat = 5, ntyp = 3
/
ATOMIC_SPECIES
Zn 65.41 Zn.upf
B 10.81 B.upf
S 32.06 S.upf
ATOMIC_POSITIONS crystal
Zn 0.0000 0.0000 0.5000
Zn 0.0000 0.5000 0.0000
Zn 0.5000 0.0000 0.0000
B 0.0000 0.0000 0.0000
S 0.5000 0.5000 0.5000
CELL_PARAMETERS angstrom
4.2337 0.0000 0.0000
0.0000 4.2337 0.0000
0.0000 0.0000 4.2337
! Space-group type: Pm-3m
! Density: 5232 kg/m³
! DOS at the Fermi energy: 5.62 states/eV/f.u.

#b
! Zn3BS (PBE, relaxed); values from VASP
&SYSTEM
  ibrav = 0, nat = 5, ntyp = 3
/
ATOMIC_SPECIES
Zn 65.41 Zn.upf
B 10.81 B.upf
S 32.06 S.upf
ATOMIC_POSITIONS crystal
Zn 0.0000 0.0000 0.5000
Zn 0.0000 0.5000 0.0000
Zn 0.5000 0.0000 0.0000
B 0.5000 0.5000 0.5000
S 0.0000 0.0000 0.0000
CELL_PARAMETERS angstrom
4.6494 0.0000 0.0000
0.0000 4.6494 0.0000
0.0000 0.0000 4.6494
! Space-group type: Pm-3m
! Density: 3951 kg/m³
! DOS at the Fermi energy: 3.66 states/eV/f.u.

Stability summary: most stable #a, least stable #b.

#a
! ZnBS3 (PBE, relaxed); values from VASP
&SYSTEM
  ibrav = 0, nat = 5, ntyp = 3
/
ATOMIC_SPECIES
Zn 65.41 Zn.upf
B 10.81 B.upf
S 32.06 S.upf
ATOMIC_POSITIONS crystal
Zn 0.0000 0.0000 0.0000
B 0.5000 0.5000 0.5000
S 0.0000 0.0000 0.5000
S 0.0000 0.5000 0.0000
S 0.5000 0.0000 0.0000
CELL_PARAMETERS angstrom
4.6639 0.0000 0.0000
0.0000 4.6639 0.0000
0.0000 0.0000 4.6639
! Space-group type: Pm-3m
! Density: 2822 kg/m³
! DOS at the Fermi energy: 4.77 states/eV/f.u.

#b
! ZnBS3 (PBE, relaxed); values from VASP
&SYSTEM
  ibrav = 0, nat = 10, ntyp = 3
/
ATOMIC_SPECIES
Zn 65.41 Zn.upf
B 10.81 B.upf
S 32.06 S.upf
ATOMIC_POSITIONS crystal
Zn 0.0000 0.0000 0.0000
Zn 0.5000 0.5000 0.0000
B 0.0000 0.4114 0.5000
B 0.5000 0.9114 0.5000
S 0.0000 0.7544 0.5000
S 0.1340 0.2742 0.7820
S 0.3660 0.7742 0.2180
S 0.5000 0.2544 0.5000
S 0.6340 0.7742 0.7820
S 0.8660 0.2742 0.2180
CELL_PARAMETERS angstrom
10.8770 0.0000 0.0000
0.0000 5.4177 0.0000
-0.8834 0.0000 3.8637
! Space-group type: C2
! Density: 2515 kg/m³
! DOS at the Fermi energy: 2.13 states/eV/f.u.

Stability summary: most stable #b, least stable #a.

#a
! ZnB3S (PBE, relaxed); values from VASP
&SYSTEM
  ibrav = 0, nat = 5, ntyp = 3
/
ATOMIC_SPECIES
Zn 65.41 Zn.upf
B 10.81 B.upf
S 32.06 S.upf
ATOMIC_POSITIONS crystal
Zn 0.0000 0.0000 0.0000
B 0.0000 0.5000 0.5000
B 0.5000 0.0000 0.5000
B 0.5000 0.5000 0.0000
S 0.5000 0.5000 0.5000
CELL_PARAMETERS angstrom
3.8427 0.0000 0.0000
0.0000 3.8427 0.0000
0.0000 0.0000 3.8427
! Space-group type: Pm-3m
! Density: 3802 kg/m³
! DOS at the Fermi energy: 2.47 states/eV/f.u.

#b
! ZnB3S (PBE, relaxed); values from VASP
&SYSTEM
  ibrav = 0, nat = 5, ntyp = 3
/
ATOMIC_SPECIES
Zn 65.41 Zn.upf
B 10.81 B.upf
S 32.06 S.upf
ATOMIC_POSITIONS crystal
Zn 0.0000 0.0000 0.0000
B 0.0000 0.0000 0.5000
B 0.0000 0.5000 0.0000
B 0.5000 0.0000 0.0000
S 0.5000 0.5000 0.5000
CELL_PARAMETERS angstrom
4.0729 0.0000 0.0000
0.0000 4.0729 0.0000
0.0000 0.0000 4.0729
! Space-group type: Pm-3m
! Density: 3193 kg/m³
! DOS at the Fermi energy: 1.50 states/eV/f.u.

Stability summary: most stable #a, least stable #b.

#a
! Zn2BS (PBE, relaxed); values from VASP
&SYSTEM
  ibrav = 0, nat = 16, ntyp = 3
/
ATOMIC_SPECIES
Zn 65.41 Zn.upf
B 10.81 B.upf
S 32.06 S.upf
ATOMIC_POSITIONS crystal
Zn 0.2500 0.2500 0.2500
Zn 0.2500 0.2500 0.7500
Zn 0.2500 0.7500 0.2500
Zn 0.2500 0.7500 0.7500
Zn 0.7500 0.2500 0.2500
Zn 0.7500 0.2500 0.7500
Zn 0.7500 0.7500 0.2500
Zn 0.7500 0.7500 0.7500
B 0.0000 0.0000 0.0000
B 0.0000 0.5000 0.5000
B 0.5000 0.0000 0.5000
B 0.5000 0.5000 0.0000
S 0.0000 0.0000 0.5000
S 0.0000 0.5000 0.0000
S 0.5000 0.0000 0.0000
S 0.5000 0.5000 0.5000
CELL_PARAMETERS angstrom
6.1067 0.0000 0.0000
0.0000 6.1067 0.0000
0.0000 0.0000 6.1067
! Space-group type: Fm-3m
! Density: 5066 kg/m³
! DOS at the Fermi energy: 2.45 states/eV/f.u.

#b
! Zn2BS (PBE, relaxed); values from VASP
&SYSTEM
  ibrav = 0, nat = 16, ntyp = 3
/
ATOMIC_SPECIES
Zn 65.41 Zn.upf
B 10.81 B.upf
S 32.06 S.upf
ATOMIC_POSITIONS crystal
Zn 0.2200 0.2500 0.1250
Zn 0.2500 0.7200 0.3750
Zn 0.2500 0.7800 0.8750
Zn 0.2800 0.2500 0.6250
Zn 0.7200 0.7500 0.6250
Zn 0.7500 0.2200 0.8750
Zn 0.7500 0.2800 0.3750
Zn 0.7800 0.7500 0.1250
B 0.0000 0.0000 0.0000
B 0.0000 0.5000 0.2500
B 0.5000 0.0000 0.7500
B 0.5000 0.5000 0.5000
S 0.0000 0.0000 0.5000
S 0.0000 0.5000 0.7500
S 0.5000 0.0000 0.2500
S 0.5000 0.5000 0.0000
CELL_PARAMETERS angstrom
5.5328 0.0000 0.0000
0.0000 5.5328 0.0000
0.0000 0.0000 8.9744
! Space-group type: I-42d
! Density: 4200 kg/m³
! DOS at the Fermi energy: 0.94 states/eV/f.u.

Stability summary: most stable #b, least stable #a.

#a
! ZnB2S (PBE, relaxed); values from VASP
&SYSTEM
  ibrav = 0, nat = 16, ntyp = 3
/
ATOMIC_SPECIES
Zn 65.41 Zn.upf
B 10.81 B.upf
S 32.06 S.upf
ATOMIC_POSITIONS crystal
Zn 0.0000 0.0000 0.0000
Zn 0.0000 0.5000 0.2500
Zn 0.5000 0.0000 0.7500
Zn 0.5000 0.5000 0.5000
B 0.2129 0.2500 0.6250
B 0.2500 0.7129 0.8750
B 0.2500 0.7871 0.3750
B 0.2871 0.2500 0.1250
B 0.7129 0.7500 0.1250
B 0.7500 0.2129 0.3750
B 0.7500 0.2871 0.8750
B 0.7871 0.7500 0.6250
S 0.0000 0.0000 0.5000
S 0.0000 0.5000 0.7500
S 0.5000 0.0000 0.2500
S 0.5000 0.5000 0.0000
CELL_PARAMETERS angstrom
4.8790 0.0000 0.0000
0.0000 4.8790 0.0000
0.0000 0.0000 8.4246
! Space-group type: I-42d
! Density: 3945 kg/m³
! DOS at the Fermi energy: 0.35 states/eV/f.u.

#b
! ZnB2S (PBE, relaxed); values from VASP
&SYSTEM
  ibrav = 0, nat = 16, ntyp = 3
/
ATOMIC_SPECIES
Zn 65.41 Zn.upf
B 10.81 B.upf
S 32.06 S.upf
ATOMIC_POSITIONS crystal
Zn 0.0000 0.0000 0.0000
Zn 0.0000 0.5000 0.5000
Zn 0.5000 0.0000 0.5000
Zn 0.5000 0.5000 0.0000
B 0.2500 0.2500 0.2500
B 0.2500 0.2500 0.7500
B 0.2500 0.7500 0.2500
B 0.2500 0.7500 0.7500
B 0.7500 0.2500 0.2500
B 0.7500 0.2500 0.7500
B 0.7500 0.7500 0.2500
B 0.7500 0.7500 0.7500
S 0.0000 0.0000 0.5000
S 0.0000 0.5000 0.0000
S 0.5000 0.0000 0.0000
S 0.5000 0.5000 0.5000
CELL_PARAMETERS angstrom
5.6575 0.0000 0.0000
0.0000 5.6575 0.0000
0.0000 0.0000 5.6575
! Space-group type: Fm-3m
! Density: 4368 kg/m³
! DOS at the Fermi energy: 1.20 states/eV/f.u.

Stability summary: most stable #a, least stable #b.